Entry 1:
DFT (PBE) results for LaIrOs after structural relaxation.

Results
For the total moment, the calculation gives 0.117 μB/atom. As for the total energy: -7.158 eV per atom. For the energy relative to the elements, the calculation gives 1.18 eV per atom. The density is 13.000 g/cm3.

Cell: 4.5497 4.5497 4.5497 Å, 60.00 60.00 60.00°
Last column: nearest neighbours and their distance in Å.
Fractional positions:
1 Os 0.0000 0.0000 0.0000  4 La 2.79
2 La 0.7500 0.7500 0.7500  4 Os 2.79, 4 Ir 2.79
3 Ir 0.5000 0.5000 0.5000  4 La 2.79


Entry 2:
DFT (PBE) results for La3IrOs after structural relaxation.

Results
For the total moment, the calculation gives 0.000 μB/atom. As for the total energy: -6.709 eV per atom. For the energy relative to the elements, the calculation gives 0.27 eV per atom. The density is 8.370 g/cm3.

Cell: 5.4123 5.4123 5.4123 Å, 90.00 90.00 90.00°
Last column: nearest neighbours and their distance in Å.
Fractional positions:
1 La 0.0000 0.5000 0.0000  2 Os 2.71
2 La 0.5000 0.0000 0.0000  2 Os 2.71
3 La 0.0000 0.0000 0.5000  2 Os 2.71
4 Os 0.0000 0.0000 0.0000  6 La 2.71
5 Ir 0.5000 0.5000 0.5000  12 La 3.83


Entry 3:
DFT (PBE) results for LaIr3Os after structural relaxation.

Results
For the total moment, the calculation gives 0.000 μB/atom. As for the total energy: -7.941 eV per atom. For the energy relative to the elements, the calculation gives 0.61 eV per atom. The density is 13.554 g/cm3.

Cell: 4.8055 4.8055 4.8055 Å, 90.00 90.00 90.00°
Last column: nearest neighbours and their distance in Å.
Fractional positions:
1 Ir 0.5000 0.0000 0.0000  2 Os 2.40
2 Ir 0.0000 0.0000 0.5000  2 Os 2.40
3 Ir 0.0000 0.5000 0.0000  2 Os 2.40
4 La 0.5000 0.5000 0.5000  12 Ir 3.40
5 Os 0.0000 0.0000 0.0000  6 Ir 2.40


Entry 4:
DFT (PBE) results for La2IrOs after structural relaxation.

Results
For the total moment, the calculation gives 0.000 μB/atom. As for the total energy: -7.411 eV per atom. For the energy relative to the elements, the calculation gives 0.08 eV per atom. The density is 11.845 g/cm3.

Cell: 7.7087 7.7087 6.2782 Å, 52.13 52.13 90.00°
Last column: nearest neighbours and their distance in Å.
Fractional positions:
1 Ir 0.0000 0.0000 0.0000  4 La 2.86, 2 Os 3.12
2 Ir 0.7500 0.2500 0.5000  4 La 2.86, 2 Os 3.12
3 Os 0.2500 0.7500 0.5000  4 La 2.81, 2 Ir 3.12
4 Os 0.5000 0.5000 0.0000  4 La 2.81, 2 Ir 3.12
5 La 0.3750 0.3798 0.7500  2 Os 2.81, 2 Ir 2.86, 2 La 3.12
6 La 0.6202 0.1250 0.2500  2 Os 2.81, 2 Ir 2.86, 2 La 3.12
7 La 0.1298 0.6250 0.2500  2 Os 2.81, 2 Ir 2.86, 2 La 3.12
8 La 0.8750 0.8702 0.7500  2 Os 2.81, 2 Ir 2.86, 2 La 3.12


Entry 5:
DFT (PBE) results for La2IrOs after structural relaxation.

Results
For the total moment, the calculation gives 0.000 μB/atom. As for the total energy: -7.647 eV per atom. For the energy relative to the elements, the calculation gives -0.16 eV per atom. The density is 11.951 g/cm3.

Cell: 4.9852 4.9852 3.6913 Å, 90.00 90.00 90.05°
Last column: nearest neighbours and their distance in Å.
Fractional positions:
1 Os 0.5000 0.0000 0.5000  8 La 3.10
2 Ir 0.0000 0.5000 0.5000  8 La 3.10
3 La 0.0000 0.0000 0.0000  4 Os 3.10, 4 Ir 3.10
4 La 0.5000 0.5000 0.0000  4 Ir 3.10, 4 Os 3.10


Entry 6:
DFT (PBE) results for La2IrOs after structural relaxation.

Results
For the total moment, the calculation gives 0.000 μB/atom. As for the total energy: -7.651 eV per atom. For the energy relative to the elements, the calculation gives -0.17 eV per atom. The density is 11.989 g/cm3.

Cell: 3.7468 3.5199 7.7767 Å, 63.08 90.00 90.00°
Last column: nearest neighbours and their distance in Å.
Fractional positions:
1 La 0.0000 0.4995 0.5006  4 Ir 3.10, 4 Os 3.10, 1 La 3.46
2 La 0.0000 0.0005 0.9994  4 Ir 3.10, 4 Os 3.10, 1 La 3.46
3 Ir 0.5000 0.7500 0.7500  8 La 3.10, 2 Os 3.47
4 Os 0.5000 0.2500 0.2500  8 La 3.10, 2 Ir 3.47